No. 1
PBE Ca5Ga2Au, optimized geometry; energy of formation from the pure elements = -465 meV/atom
1.0
-5.7033 0.2169 -5.3077
3.3975 -5.8376 -3.8892
-2.8283 -2.2198 8.6708
Ga Ca Au
4 10 2
direct
0.1160 0.3840 0.0000
0.6160 0.1160 0.0000
0.3840 0.8840 0.0000
0.8840 0.6160 0.0000
0.1814 0.0275 0.7088
0.5000 0.5000 0.0000
0.3186 0.8186 0.2912
0.6814 0.1814 0.7088
0.8186 0.9725 0.2912
0.5275 0.6814 0.7088
0.4725 0.3186 0.2912
0.0275 0.5275 0.7088
0.0000 0.0000 0.0000
0.9725 0.4725 0.2912
0.7500 0.7500 0.5000
0.2500 0.2500 0.5000



No. 2
PBE Ti2CdW2, optimized geometry; energy of formation from the pure elements = 355 meV/atom; energy relative to the lowest polymorph listed for this composition = 0.0 meV per atom
1.0
-7.2753 0.7127 2.2840
-2.3260 -3.8199 -6.2171
0.2269 -2.6712 1.5563
W Ti Cd
4 4 2
direct
0.3903 0.8903 0.0000
0.1097 0.3903 0.0000
0.8903 0.6097 0.0000
0.6097 0.1097 0.0000
0.1907 0.6907 0.5000
0.6907 0.8093 0.5000
0.3093 0.1907 0.5000
0.8093 0.3093 0.5000
0.0000 0.0000 0.0000
0.5000 0.5000 0.0000



No. 3
PBE Pt4C3, optimized geometry; energy of formation from the pure elements = 2003 meV/atom; energy relative to the lowest polymorph listed for this composition = 1407.3 meV per atom
1.0
2.0950 -3.6286 0.0000
2.0950 3.6286 0.0000
0.0000 0.0000 6.0128
C Pt
3 4
direct
0.0000 0.5000 0.0000
0.5000 0.0000 0.0000
0.5000 0.5000 0.0000
0.0000 0.0000 0.7761
0.6667 0.3333 0.5000
0.3333 0.6667 0.5000
0.0000 0.0000 0.2239



No. 4
PBE CaMnH6, optimized geometry; uncorrected energy = -3.900 eV/atom
1.0
-2.7599 0.6426 -4.5457
-5.2541 -1.0368 -0.1127
-3.5136 4.0176 -0.4549
Ca H Mn
1 6 1
direct
0.5000 0.5000 0.5000
0.7860 0.2140 0.2140
0.7860 0.7860 0.2140
0.2140 0.7860 0.2140
0.7860 0.2140 0.7860
0.2140 0.7860 0.7860
0.2140 0.2140 0.7860
0.0000 0.0000 0.0000



No. 5
PBE KSnBi2, optimized geometry; energy of formation from the pure elements = -108 meV/atom
1.0
4.3749 0.0000 0.0000
0.0000 4.3749 0.0000
0.0000 0.0000 7.4034
Bi K Sn
2 1 1
direct
0.0000 0.0000 0.7991
0.0000 0.0000 0.2009
0.5000 0.5000 0.5000
0.5000 0.5000 0.0000



No. 6
PBE Ba7Li2Ag2, optimized geometry; energy of formation from the pure elements = -5 meV/atom
1.0
-7.2730 0.6184 3.7181
-0.6898 -8.4564 0.0585
5.7974 -0.4324 5.7711
Ba Ag Li
7 2 2
direct
0.5000 0.7524 0.5000
0.5000 0.2618 0.0000
0.5000 0.7382 0.0000
0.0000 0.2618 0.5000
0.5000 0.2476 0.5000
0.0000 0.7382 0.5000
0.0000 0.0000 0.0000
0.7116 0.0000 0.2884
0.2884 0.0000 0.7116
0.1579 0.5000 0.1579
0.8421 0.5000 0.8421